Here is a relaxed LaCrO3 crystal from Alexandria. Energies are from PBE with a Hubbard U.

```
LaCrO3
1.0
3.802 0.000 -0.009
0.000 6.055 0.000
-1.868 0.000 6.194
O La Cr
6 2 2
direct
0.846 0.002 0.195
0.519 0.750 0.541
0.846 0.498 0.195
0.481 0.250 0.459
0.154 0.998 0.805
0.154 0.502 0.805
0.674 0.250 0.847
0.326 0.750 0.153
0.947 0.250 0.383
0.053 0.750 0.617
```

**DFT total energy**: -7.785 eV per atom